DFT (PBE with a Hubbard U) results for a geometry-optimized Na4FeO3 structure.

Cell lengths 6.285, 6.285, 8.263 Å; angles 110.60, 110.60, 55.64 degrees
Fractional coordinates of all 16 atoms:
Na: 0.016 0.334 0.402
Na: 0.156 0.844 0.500
Na: 0.334 0.016 0.902
Na: 0.367 0.790 0.187
Na: 0.610 0.931 0.591
Na: 0.790 0.367 0.687
Na: 0.844 0.156 0.000
Na: 0.931 0.610 0.091
Fe: 0.259 0.553 0.787
Fe: 0.553 0.259 0.287
O: 0.226 0.247 0.691
O: 0.247 0.226 0.191
O: 0.568 0.571 0.428
O: 0.571 0.568 0.928
O: 0.898 0.998 0.237
O: 0.998 0.898 0.737

SG = No. 9
ρ = 2.630 g/cm3
Electronic total energy = -4.565 eV per atom
Magnetization = 8.00 μB per cell